Zn2Se2O7 | GGA-PBE | relaxed

```
Zn2Se2O7
1.0
5.266 0.000 0.000
0.000 11.153 0.000
-2.116 0.000 5.089
Zn Se O
4 4 14
Direct
0.042 0.143 0.427
0.042 0.357 0.927
0.958 0.643 0.073
0.958 0.857 0.573
0.329 0.596 0.690
0.329 0.904 0.190
0.671 0.096 0.810
0.671 0.404 0.310
0.083 0.689 0.462
0.083 0.811 0.962
0.149 0.544 0.882
0.149 0.956 0.382
0.435 0.193 0.612
0.435 0.307 0.112
0.500 0.000 0.000
0.500 0.500 0.500
0.565 0.693 0.888
0.565 0.807 0.388
0.851 0.044 0.618
0.851 0.456 0.118
0.917 0.189 0.038
0.917 0.311 0.538
```

The calculation puts the raw formation energy at -9.45 eV per formula unit. The electronic total energy comes out at -4.879 eV/atom. The calculation puts the calculated density at 4.5 g cm⁻³. As for the offset from the most stable computed form: 0 meV/atom. As for the symmetry: P2_1/c (14).

Rb2InBrF6 | GGA-PBE | relaxed

```
Rb2InBrF6
1.0
-3.220 3.220 5.110
3.220 -3.220 5.110
3.220 3.220 -5.110
Rb In Br F
2 1 1 6
Direct
0.250 0.750 0.500
0.750 0.250 0.500
0.000 0.000 0.000
0.500 0.500 0.000
0.202 0.202 0.000
0.232 0.232 0.464
0.232 0.768 0.000
0.768 0.232 0.000
0.768 0.768 0.536
0.798 0.798 0.000
```

The calculation puts the raw formation energy at -20.98 eV per formula unit. The electronic total energy comes out at -3.855 eV/atom. The calculation puts the calculated density at 3.8 g cm⁻³. As for the symmetry: I4/mmm (139).

RbTe2OsN | GGA-PBE | relaxed

```
RbTe2OsN
1.0
5.862 0.000 0.000
0.000 5.862 0.000
0.000 0.000 3.709
Rb Te Os N
1 2 1 1
Direct
0.000 0.000 0.000
0.000 0.500 0.500
0.500 0.000 0.500
0.500 0.500 0.500
0.500 0.500 0.000
```

The calculation puts the raw formation energy at 0.58 eV per formula unit. The electronic total energy comes out at -5.245 eV/atom. The calculation puts the calculated density at 7.1 g cm⁻³. As for the offset from the most stable computed form: 0 meV/atom. As for the symmetry: P4/mmm (123).

HoZr2ScP4 | GGA-PBE | relaxed

```
HoZr2ScP4
1.0
6.562 0.000 0.000
0.000 3.786 0.000
-2.193 0.000 6.265
Ho Zr Sc P
1 2 1 4
Direct
0.000 0.000 0.000
0.000 0.500 0.500
0.500 0.000 0.500
0.500 0.500 0.000
0.255 0.000 0.747
0.258 0.500 0.258
0.742 0.500 0.742
0.745 0.000 0.253
```

The electronic total energy comes out at -7.654 eV/atom. The calculation puts the calculated density at 5.5 g cm⁻³. As for the formation enthalpy at 0 K: -1449 meV/atom. As for the symmetry: P2/m (10).

TaMo2N | GGA-PBE | relaxed

```
TaMo2N
1.0
-3.580 3.580 2.245
3.580 -3.580 2.245
3.580 3.580 -2.245
Ta Mo N
2 4 2
Direct
0.000 0.000 0.000
0.750 0.250 0.500
0.238 0.625 0.113
0.375 0.488 0.613
0.512 0.125 0.887
0.875 0.762 0.387
0.250 0.750 0.500
0.500 0.500 0.000
```

The calculation puts the raw formation energy at -0.21 eV per formula unit. The electronic total energy comes out at -10.513 eV/atom. The calculation puts the calculated density at 11.2 g cm⁻³. As for the symmetry: I-42d (122).

BaPSeCl2 | GGA-PBE | relaxed

```
BaPSeCl2
1.0
5.805 0.000 0.000
0.000 5.805 0.000
0.000 0.000 7.803
Ba P Se Cl
1 1 1 2
Direct
0.000 0.000 0.000
0.000 0.000 0.500
0.500 0.500 0.500
0.000 0.500 0.000
0.500 0.000 0.000
```

The calculation puts the raw formation energy at -0.50 eV per formula unit. The electronic total energy comes out at -3.002 eV/atom. The calculation puts the calculated density at 2.0 g cm⁻³. As for the offset from the most stable computed form: 554 meV/atom. As for the symmetry: P4/mmm (123).

KPrSb2 | GGA-PBE | relaxed

```
KPrSb2
1.0
4.269 0.000 0.000
0.000 4.269 0.000
0.000 0.000 7.599
K Pr Sb
1 1 2
Direct
0.000 0.000 0.000
0.000 0.000 0.500
0.500 0.500 0.306
0.500 0.500 0.694
```

The calculation puts the raw formation energy at -2.75 eV per formula unit. The electronic total energy comes out at -4.217 eV/atom. The calculation puts the calculated density at 5.1 g cm⁻³. As for the symmetry: P4/mmm (123).

TePOsO2 | GGA-PBE | relaxed

```
TePOsO2
1.0
3.837 0.000 0.000
0.000 3.837 0.000
0.000 0.000 5.724
Te P Os O
1 1 1 2
Direct
0.000 0.000 0.000
0.000 0.000 0.500
0.500 0.500 0.500
0.000 0.500 0.000
0.500 0.000 0.000
```

The calculation puts the raw formation energy at 3.14 eV per formula unit. The electronic total energy comes out at -5.312 eV/atom. The calculation puts the calculated density at 7.5 g cm⁻³. As for the offset from the most stable computed form: 927 meV/atom. As for the symmetry: P4/mmm (123).

TbPr4Tm2 | GGA-PBE | relaxed

```
TbPr4Tm2
1.0
0.000 12.208 3.246
6.027 0.000 3.246
6.027 12.208 0.000
Tb Pr Tm
2 8 4
Direct
0.000 0.000 0.000
0.250 0.250 0.250
0.141 0.291 0.071
0.179 0.753 0.109
0.291 0.141 0.497
0.373 0.617 0.485
0.617 0.373 0.524
0.726 0.765 0.633
0.753 0.179 0.959
0.765 0.726 0.877
0.201 0.683 0.366
0.500 0.884 0.567
0.683 0.201 0.750
0.884 0.500 0.049
```

The electronic total energy comes out at -4.607 eV/atom. The calculation puts the calculated density at 7.4 g cm⁻³. As for the offset from the most stable computed form: 0 meV/atom. As for the formation enthalpy at 0 K: 63 meV/atom. As for the symmetry: Fdd2 (43).

Ca2Ac3Mg3 | GGA-PBE | relaxed

```
Ca2Ac3Mg3
1.0
-2.046 2.966 11.994
2.046 -2.966 11.994
2.046 2.966 -11.994
Ca Ac Mg
2 3 3
Direct
0.235 0.235 0.000
0.765 0.765 0.000
0.000 0.000 0.000
0.380 0.880 0.500
0.620 0.120 0.500
0.121 0.621 0.500
0.500 0.500 0.000
0.879 0.379 0.500
```

The electronic total energy comes out at -2.673 eV/atom. The calculation puts the calculated density at 4.8 g cm⁻³. As for the formation enthalpy at 0 K: -34 meV/atom. As for the symmetry: Immm (71).

BaNaTl2Au | GGA-PBE | relaxed

```
BaNaTl2Au
1.0
-2.307 2.419 7.011
2.307 -2.419 7.011
2.307 2.419 -7.011
Ba Na Tl Au
1 1 2 1
Direct
0.000 0.000 0.000
0.268 0.768 0.500
0.622 0.622 0.000
0.781 0.281 0.500
0.412 0.412 0.000
```

The electronic total energy comes out at -2.603 eV/atom. The calculation puts the calculated density at 8.1 g cm⁻³. As for the formation enthalpy at 0 K: -353 meV/atom. As for the symmetry: Imm2 (44).

ErThU | GGA-PBE | relaxed

```
ErThU
1.0
-1.642 1.642 15.864
1.642 -1.642 15.864
1.642 1.642 -15.864
Er Th U
2 2 2
Direct
0.055 0.055 0.000
0.945 0.945 0.000
0.207 0.207 0.000
0.793 0.793 0.000
0.370 0.370 0.000
0.630 0.630 0.000
```

The electronic total energy comes out at -7.362 eV/atom. The calculation puts the calculated density at 12.4 g cm⁻³. As for the formation enthalpy at 0 K: 395 meV/atom. As for the symmetry: I4/mmm (139).

BaPrMnSe4 | GGA-PBE | relaxed

```
BaPrMnSe4
1.0
7.071 0.000 0.000
0.000 6.532 0.000
-2.730 0.000 8.611
Ba Pr Mn Se
2 2 2 8
Direct
0.239 0.250 0.437
0.761 0.750 0.563
0.253 0.250 0.942
0.747 0.750 0.058
0.267 0.750 0.180
0.733 0.250 0.820
0.079 0.750 0.364
0.079 0.750 0.911
0.486 0.511 0.771
0.486 0.989 0.771
0.514 0.011 0.229
0.514 0.489 0.229
0.921 0.250 0.089
0.921 0.250 0.636
```

The calculation puts the raw formation energy at -9.88 eV per formula unit. The electronic total energy comes out at -5.669 eV/atom. The calculation puts the calculated density at 5.4 g cm⁻³. As for the symmetry: P2_1/m (11).

Tb3HoTl2 | GGA-PBE | relaxed

```
Tb3HoTl2
1.0
4.924 0.000 0.000
0.000 4.484 0.000
-2.450 0.000 7.789
Tb Ho Tl
3 1 2
Direct
0.000 0.000 0.000
0.327 0.000 0.654
0.673 0.000 0.346
0.500 0.500 0.000
0.152 0.500 0.304
0.848 0.500 0.696
```

The electronic total energy comes out at -4.076 eV/atom. The calculation puts the calculated density at 10.1 g cm⁻³. As for the offset from the most stable computed form: 60 meV/atom. As for the formation enthalpy at 0 K: -209 meV/atom. As for the symmetry: P2/m (10).

TiSbSe2 | GGA-PBE | relaxed

```
TiSbSe2
1.0
1.756 1.014 8.932
-1.756 1.014 8.932
0.000 -2.027 8.932
Ti Sb Se
1 1 2
Direct
0.000 0.000 0.000
0.500 0.500 0.500
0.392 0.392 0.392
0.608 0.608 0.608
```

The calculation puts the raw formation energy at -2.88 eV per formula unit. The electronic total energy comes out at -5.468 eV/atom. The calculation puts the calculated density at 5.7 g cm⁻³. As for the symmetry: R-3m (166).

Mn2ZnCuIr | GGA-PBE | relaxed

```
Mn2ZnCuIr
1.0
4.436 0.000 0.000
0.000 4.436 0.000
0.000 0.000 4.300
Mn Zn Cu Ir
2 1 1 1
Direct
0.000 0.500 0.000
0.500 0.000 0.000
0.000 0.000 0.500
0.000 0.000 0.000
0.500 0.500 0.500
```

The electronic total energy comes out at -5.557 eV/atom. The calculation puts the calculated density at 8.5 g cm⁻³. As for the formation enthalpy at 0 K: 957 meV/atom. As for the symmetry: P4/mmm (123).

HfCoBi2 | GGA-PBE | relaxed

```
HfCoBi2
1.0
0.000 3.542 3.542
3.542 0.000 3.542
3.542 3.542 0.000
Hf Co Bi
1 1 2
Direct
0.000 0.000 0.000
0.500 0.500 0.500
0.250 0.250 0.250
0.750 0.750 0.750
```

The electronic total energy comes out at -5.789 eV/atom. The calculation puts the calculated density at 12.2 g cm⁻³. As for the offset from the most stable computed form: 24 meV/atom. As for the formation enthalpy at 0 K: 416 meV/atom. As for the symmetry: Fm-3m (225).

Pm12PdPb6 | GGA-PBE | relaxed

```
Pm12PdPb6
1.0
6.197 3.578 4.778
-6.197 3.578 4.778
0.000 -7.156 4.778
Pm Pd Pb
12 1 6
Direct
0.048 0.926 0.699
0.074 0.301 0.952
0.184 0.409 0.539
0.301 0.952 0.074
0.409 0.539 0.184
0.461 0.816 0.591
0.539 0.184 0.409
0.591 0.461 0.816
0.699 0.048 0.926
0.816 0.591 0.461
0.926 0.699 0.048
0.952 0.074 0.301
0.500 0.500 0.500
0.146 0.759 0.365
0.241 0.635 0.854
0.365 0.146 0.759
0.635 0.854 0.241
0.759 0.365 0.146
0.854 0.241 0.635
```

The electronic total energy comes out at -4.804 eV/atom. The calculation puts the calculated density at 8.1 g cm⁻³. As for the formation enthalpy at 0 K: -359 meV/atom. As for the symmetry: R-3 (148).

Na2HoBr5 | GGA-PBE | relaxed

```
Na2HoBr5
1.0
2.819 -7.313 0.000
2.819 7.313 0.000
0.000 0.000 14.298
Na Ho Br
4 2 10
Direct
0.149 0.851 0.556
0.149 0.851 0.944
0.851 0.149 0.056
0.851 0.149 0.444
0.182 0.818 0.250
0.818 0.182 0.750
0.046 0.954 0.121
0.046 0.954 0.379
0.285 0.715 0.750
0.306 0.694 0.097
0.306 0.694 0.403
0.694 0.306 0.597
0.694 0.306 0.903
0.715 0.285 0.250
0.954 0.046 0.621
0.954 0.046 0.879
```

The calculation puts the raw formation energy at -13.50 eV per formula unit. The electronic total energy comes out at -3.635 eV/atom. The calculation puts the calculated density at 3.4 g cm⁻³. As for the offset from the most stable computed form: 0 meV/atom. As for the symmetry: Cmcm (63).

Rb2Tl5In3 | GGA-PBE | relaxed

```
Rb2Tl5In3
1.0
5.249 0.000 0.000
0.000 5.249 0.000
0.000 0.000 12.851
Rb Tl In
2 5 3
Direct
0.000 0.500 0.245
0.500 0.000 0.755
0.000 0.000 0.500
0.000 0.500 0.642
0.500 0.000 0.358
0.500 0.500 0.000
0.500 0.500 0.500
0.000 0.000 0.000
0.000 0.500 0.874
0.500 0.000 0.126
```

The electronic total energy comes out at -2.274 eV/atom. The calculation puts the calculated density at 7.2 g cm⁻³. As for the offset from the most stable computed form: 0 meV/atom. As for the formation enthalpy at 0 K: -76 meV/atom. As for the symmetry: P-4m2 (115).